[1]
# Ce2Fe17C2, relaxed, DFT PBE-GGA
data_Ce2Fe17C2
_symmetry_space_group_name_H-M 'C 1 2/m 1'
_symmetry_Int_Tables_number 12
_cell_length_a 9.656
_cell_length_b 8.674
_cell_length_c 6.487
_cell_angle_alpha 90.00
_cell_angle_beta 98.91
_cell_angle_gamma 90.00
loop_
_symmetry_equiv_pos_as_xyz
'x,y,z'
'-x,-y,-z'
'-x,y,-z'
'x,-y,z'
'x+1/2,y+1/2,z'
'-x+1/2,-y+1/2,-z'
'-x+1/2,y+1/2,-z'
'x+1/2,-y+1/2,z'
loop_
_atom_site_label
_atom_site_fract_x
_atom_site_fract_y
_atom_site_fract_z
_atom_site_occupancy
Ce1 0.150 0.000 0.328 1
Fe1 0.000 0.219 0.000 1
Fe2 0.000 0.500 0.500 1
Fe3 0.097 0.500 0.905 1
Fe4 0.099 0.255 0.659 1
Fe5 0.143 0.359 0.285 1
Fe6 0.157 0.000 0.852 1
Fe7 0.250 0.250 0.000 1
C1 0.250 0.250 0.500 1
# Formation enthalpy at 0 K, meV per atom: -34.6
# V, Å³/atom: 12.78
# Size of the total moment, μB per formula unit: 34.120

=====

[2]
# CeFe3C, relaxed, DFT PBE-GGA
data_CeFe3C
_symmetry_space_group_name_H-M 'C m c m'
_symmetry_Int_Tables_number 63
_symmetry_space_group_name_Hall '-C 2c 2'
_cell_length_a 6.047
_cell_length_b 8.553
_cell_length_c 5.200
_cell_angle_alpha 90.00
_cell_angle_beta 90.00
_cell_angle_gamma 90.00
loop_
_atom_site_label
_atom_site_fract_x
_atom_site_fract_y
_atom_site_fract_z
_atom_site_occupancy
Ce1 0.000 0.059 0.250 1
Fe1 0.000 0.500 0.000 1
Fe2 0.205 0.217 0.750 1
C1 0.000 0.341 0.250 1
# Formation enthalpy at 0 K, meV per atom: 330.7
# V, Å³/atom: 13.45
# Size of the total moment, μB per formula unit: 3.994

=====

[3]
# Ce2Ga2Fe2C, relaxed, DFT PBE-GGA
data_Ce2Ga2Fe2C
_symmetry_space_group_name_H-M 'C 1 2/m 1'
_symmetry_Int_Tables_number 12
_cell_length_a 10.784
_cell_length_b 4.116
_cell_length_c 7.110
_cell_angle_alpha 90.00
_cell_angle_beta 129.94
_cell_angle_gamma 90.00
loop_
_symmetry_equiv_pos_as_xyz
'x,y,z'
'-x,-y,-z'
'-x,y,-z'
'x,-y,z'
'x+1/2,y+1/2,z'
'-x+1/2,-y+1/2,-z'
'-x+1/2,y+1/2,-z'
'x+1/2,-y+1/2,z'
loop_
_atom_site_label
_atom_site_fract_x
_atom_site_fract_y
_atom_site_fract_z
_atom_site_occupancy
Ce1 0.050 0.000 0.321 1
Ga1 0.163 0.500 0.112 1
Fe1 0.192 0.500 0.799 1
C1 0.000 0.500 0.500 1
# Formation enthalpy at 0 K, meV per atom: -367.6
# V, Å³/atom: 17.28
# Size of the total moment, μB per formula unit: 0.851

=====

[4]
# CeGa2Fe2C, relaxed, DFT PBE-GGA
data_CeGa2Fe2C
_symmetry_space_group_name_H-M 'P 4/m m m'
_symmetry_Int_Tables_number 123
_symmetry_space_group_name_Hall '-P 4 2'
_cell_length_a 3.902
_cell_length_b 3.902
_cell_length_c 5.579
_cell_angle_alpha 90.00
_cell_angle_beta 90.00
_cell_angle_gamma 90.00
loop_
_atom_site_label
_atom_site_fract_x
_atom_site_fract_y
_atom_site_fract_z
_atom_site_occupancy
Ce1 0.000 0.000 0.000 1
Ga1 0.500 0.500 0.231 1
Fe1 0.000 0.500 0.500 1
C1 0.000 0.000 0.500 1
# Formation enthalpy at 0 K, meV per atom: -278.4
# V, Å³/atom: 14.16
# Size of the total moment, μB per formula unit: 1.361

=====

[5]
# Ce2FeGeC, relaxed, DFT PBE-GGA
data_Ce2FeGeC
_symmetry_space_group_name_H-M 'P 1 21/m 1'
_symmetry_Int_Tables_number 11
_cell_length_a 6.702
_cell_length_b 3.875
_cell_length_c 7.909
_cell_angle_alpha 90.00
_cell_angle_beta 111.19
_cell_angle_gamma 90.00
loop_
_symmetry_equiv_pos_as_xyz
'x,y,z'
'-x,-y,-z'
'-x,y+1/2,-z'
'x,-y+1/2,z'
loop_
_atom_site_label
_atom_site_fract_x
_atom_site_fract_y
_atom_site_fract_z
_atom_site_occupancy
Ce1 0.184 0.250 0.420 1
Ce2 0.237 0.750 0.017 1
Fe1 0.215 0.250 0.709 1
Ge1 0.442 0.750 0.728 1
C1 0.001 0.250 0.810 1
# Formation enthalpy at 0 K, meV per atom: -397.5
# V, Å³/atom: 19.15
# Size of the total moment, μB per formula unit: 0.000

=====

[6]
# CeFe2GeC, relaxed, DFT PBE-GGA
data_CeFe2GeC
_symmetry_space_group_name_H-M 'C m c m'
_symmetry_Int_Tables_number 63
_symmetry_space_group_name_Hall '-C 2c 2'
_cell_length_a 3.894
_cell_length_b 10.713
_cell_length_c 6.812
_cell_angle_alpha 90.00
_cell_angle_beta 90.00
_cell_angle_gamma 90.00
loop_
_atom_site_label
_atom_site_fract_x
_atom_site_fract_y
_atom_site_fract_z
_atom_site_occupancy
Ce1 0.000 0.057 0.250 1
Fe1 0.000 0.339 0.061 1
Ge1 0.000 0.226 0.750 1
C1 0.000 0.500 0.000 1
# Formation enthalpy at 0 K, meV per atom: -371.5
# V, Å³/atom: 14.21
# Size of the total moment, μB per formula unit: 0.002

=====

[7]
# CeMnFeC2, relaxed, DFT PBE-GGA
data_CeMnFeC2
_symmetry_space_group_name_H-M 'I -4 m 2'
_symmetry_Int_Tables_number 119
_symmetry_space_group_name_Hall 'I -4 -2'
_cell_length_a 3.433
_cell_length_b 3.433
_cell_length_c 10.124
_cell_angle_alpha 90.00
_cell_angle_beta 90.00
_cell_angle_gamma 90.00
loop_
_atom_site_label
_atom_site_fract_x
_atom_site_fract_y
_atom_site_fract_z
_atom_site_occupancy
Ce1 0.000 0.000 0.000 1
Mn1 0.000 0.500 0.750 1
Fe1 0.000 0.500 0.250 1
C1 0.000 0.000 0.342 1
# Formation enthalpy at 0 K, meV per atom: -216.4
# V, Å³/atom: 11.93
# Size of the total moment, μB per formula unit: 0.535

=====

[8]
# CeMnFeC, relaxed, DFT PBE-GGA
data_CeMnFeC
_symmetry_space_group_name_H-M 'P 4/n m m'
_symmetry_Int_Tables_number 129
_cell_length_a 3.352
_cell_length_b 3.352
_cell_length_c 10.167
_cell_angle_alpha 90.00
_cell_angle_beta 90.00
_cell_angle_gamma 90.00
loop_
_symmetry_equiv_pos_as_xyz
'x,y,z'
'-x,-y,-z'
'-y+1/2,x,z'
'y+1/2,-x,-z'
'-x+1/2,-y+1/2,z'
'x+1/2,y+1/2,-z'
'y,-x+1/2,z'
'-y,x+1/2,-z'
'x+1/2,-y,-z'
'-x+1/2,y,z'
'-y,-x,-z'
'y,x,z'
'-x,y+1/2,-z'
'x,-y+1/2,z'
'y+1/2,x+1/2,-z'
'-y+1/2,-x+1/2,z'
loop_
_atom_site_label
_atom_site_fract_x
_atom_site_fract_y
_atom_site_fract_z
_atom_site_occupancy
Ce1 0.250 0.250 0.244 1
Mn1 0.250 0.750 0.500 1
Fe1 0.250 0.750 0.000 1
C1 0.250 0.250 0.613 1
# Formation enthalpy at 0 K, meV per atom: -2.4
# V, Å³/atom: 14.28
# Size of the total moment, μB per formula unit: 0.386

=====

[9]
# CeNdFeC, relaxed, DFT PBE-GGA
data_CeNdFeC
_symmetry_space_group_name_H-M 'P 4/n m m'
_symmetry_Int_Tables_number 129
_cell_length_a 3.660
_cell_length_b 3.660
_cell_length_c 11.328
_cell_angle_alpha 90.00
_cell_angle_beta 90.00
_cell_angle_gamma 90.00
loop_
_symmetry_equiv_pos_as_xyz
'x,y,z'
'-x,-y,-z'
'-y+1/2,x,z'
'y+1/2,-x,-z'
'-x+1/2,-y+1/2,z'
'x+1/2,y+1/2,-z'
'y,-x+1/2,z'
'-y,x+1/2,-z'
'x+1/2,-y,-z'
'-x+1/2,y,z'
'-y,-x,-z'
'y,x,z'
'-x,y+1/2,-z'
'x,-y+1/2,z'
'y+1/2,x+1/2,-z'
'-y+1/2,-x+1/2,z'
loop_
_atom_site_label
_atom_site_fract_x
_atom_site_fract_y
_atom_site_fract_z
_atom_site_occupancy
Ce1 0.250 0.750 0.000 1
Nd1 0.250 0.250 0.300 1
Fe1 0.250 0.750 0.500 1
C1 0.250 0.250 0.573 1
# Formation enthalpy at 0 K, meV per atom: 151.4
# V, Å³/atom: 18.97
# Size of the total moment, μB per formula unit: 0.000

=====

[10]
# CeFe2PC, relaxed, DFT PBE-GGA
data_CeFe2PC
_symmetry_space_group_name_H-M 'C m c m'
_symmetry_Int_Tables_number 63
_symmetry_space_group_name_Hall '-C 2c 2'
_cell_length_a 3.742
_cell_length_b 10.492
_cell_length_c 6.689
_cell_angle_alpha 90.00
_cell_angle_beta 90.00
_cell_angle_gamma 90.00
loop_
_atom_site_label
_atom_site_fract_x
_atom_site_fract_y
_atom_site_fract_z
_atom_site_occupancy
Ce1 0.000 0.054 0.250 1
Fe1 0.000 0.333 0.056 1
P1 0.000 0.226 0.750 1
C1 0.000 0.500 0.000 1
# Formation enthalpy at 0 K, meV per atom: -637.9
# V, Å³/atom: 13.13
# Size of the total moment, μB per formula unit: 0.000

=====

[11]
# CeFeSiC, relaxed, DFT PBE-GGA
data_CeFeSiC
_symmetry_space_group_name_H-M 'P 4/n m m'
_symmetry_Int_Tables_number 129
_cell_length_a 3.726
_cell_length_b 3.726
_cell_length_c 8.676
_cell_angle_alpha 90.00
_cell_angle_beta 90.00
_cell_angle_gamma 90.00
loop_
_symmetry_equiv_pos_as_xyz
'x,y,z'
'-x,-y,-z'
'-y+1/2,x,z'
'y+1/2,-x,-z'
'-x+1/2,-y+1/2,z'
'x+1/2,y+1/2,-z'
'y,-x+1/2,z'
'-y,x+1/2,-z'
'x+1/2,-y,-z'
'-x+1/2,y,z'
'-y,-x,-z'
'y,x,z'
'-x,y+1/2,-z'
'x,-y+1/2,z'
'y+1/2,x+1/2,-z'
'-y+1/2,-x+1/2,z'
loop_
_atom_site_label
_atom_site_fract_x
_atom_site_fract_y
_atom_site_fract_z
_atom_site_occupancy
Ce1 0.250 0.250 0.154 1
Fe1 0.250 0.750 0.500 1
Si1 0.250 0.250 0.663 1
C1 0.250 0.250 0.876 1
# V, Å³/atom: 15.05
# ΔE_f (raw), eV/atom: -0.4210
# Size of the total moment, μB per formula unit: 1.748

=====

[12]
# CeFe2SiC, relaxed, DFT PBE-GGA
data_CeFe2SiC
_symmetry_space_group_name_H-M 'C m c m'
_symmetry_Int_Tables_number 63
_symmetry_space_group_name_Hall '-C 2c 2'
_cell_length_a 3.838
_cell_length_b 10.590
_cell_length_c 6.700
_cell_angle_alpha 90.00
_cell_angle_beta 90.00
_cell_angle_gamma 90.00
loop_
_atom_site_label
_atom_site_fract_x
_atom_site_fract_y
_atom_site_fract_z
_atom_site_occupancy
Ce1 0.000 0.058 0.250 1
Fe1 0.000 0.336 0.061 1
Si1 0.000 0.225 0.750 1
C1 0.000 0.500 0.000 1
# V, Å³/atom: 13.62
# ΔE_f (raw), eV/atom: -0.4743
# Size of the total moment, μB per formula unit: 0.000

=====

Values of uncorrected energy, in order: -8.329; -7.779; -6.663; -6.635; -7.232; -7.712; -8.619; -8.200; -6.946; -8.136; -7.682; -7.976, all in eV per atom.